The following is a DFT calculation (PBE) of GeBi2Sb2 after structural relaxation.

Cell: 8.299 8.299 4.313 Å, 90.00 90.00 90.00°
Fractional positions:
Sb 0.339 0.839 0.000
Sb 0.839 0.661 0.000
Sb 0.661 0.161 0.000
Sb 0.161 0.339 0.000
Ge 0.000 0.000 0.000
Ge 0.500 0.500 0.000
Bi 0.151 0.651 0.500
Bi 0.651 0.849 0.500
Bi 0.849 0.349 0.500
Bi 0.349 0.151 0.500

Summary:
The uncorrected formation energy comes out at 1.39 eV/f.u. The calculation puts the energy above the most stable polymorph in this dataset at 0.000 eV/atom. The mass density comes out at 8.21 Mg/m³. Its space-group type is No. 127.



The following is a DFT calculation (PBE) of YGe2Br after structural relaxation.

Cell: 9.296 9.296 7.087 Å, 49.02 49.02 90.00°
Fractional positions:
Y 0.000 0.000 0.000
Y 0.750 0.250 0.500
Ge 0.673 0.125 0.250
Ge 0.077 0.625 0.250
Ge 0.375 0.327 0.750
Ge 0.875 0.923 0.750
Br 0.500 0.500 0.000
Br 0.250 0.750 0.500

Summary:
The uncorrected formation energy comes out at -0.46 eV/f.u. The calculation puts the energy above the most stable polymorph in this dataset at 0.000 eV/atom. The mass density comes out at 4.56 Mg/m³. Its space-group type is No. 122.



The following is a DFT calculation (PBE) of Ac2La4Pr3 after structural relaxation.

Cell: 3.799 3.799 28.194 Å, 90.00 90.00 120.00°
Fractional positions:
Ac 0.667 0.333 0.093
Ac 0.667 0.333 0.870
La 0.000 0.000 0.542
La 0.667 0.333 0.435
La 0.667 0.333 0.222
La 0.000 0.000 0.756
Pr 0.000 0.000 0.983
Pr 0.000 0.000 0.326
Pr 0.667 0.333 0.650

Summary:
The calculation puts the energy above the most stable polymorph in this dataset at 0.000 eV/atom. The energy of formation from the pure elements is 0.069 eV per atom. The mass density comes out at 6.75 Mg/m³. Its space-group type is No. 156.



The following is a DFT calculation (PBE) of TaCdTc2 after structural relaxation.

Cell: 3.223 3.223 6.538 Å, 90.00 90.00 90.00°
Fractional positions:
Cd 0.500 0.500 0.250
Ta 0.500 0.500 0.750
Tc 0.000 0.000 0.973
Tc 0.000 0.000 0.527

Summary:
The energy of formation from the pure elements is 0.111 eV per atom. The mass density comes out at 11.96 Mg/m³. Its space-group type is No. 123.



The following is a DFT calculation (PBE) of SrPdBr after structural relaxation.

Cell: 3.979 3.979 10.672 Å, 90.00 90.00 90.00°
Fractional positions:
Sr 0.000 0.500 0.724
Sr 0.500 0.000 0.276
Br 0.000 0.500 0.143
Br 0.500 0.000 0.857
Pd 0.000 0.000 0.500
Pd 0.500 0.500 0.500

Summary:
The uncorrected formation energy comes out at -3.65 eV/f.u. The calculation puts the energy above the most stable polymorph in this dataset at 0.046 eV/atom. The mass density comes out at 5.38 Mg/m³. Its space-group type is No. 129.



The following is a DFT calculation (PBE) of RbTiHS2 after structural relaxation.

Cell: 3.581 7.362 8.747 Å, 108.76 90.00 90.00°
Fractional positions:
Rb 0.250 0.673 0.298
Rb 0.750 0.327 0.702
Ti 0.250 0.856 0.833
Ti 0.750 0.144 0.167
H 0.250 0.606 0.790
H 0.750 0.394 0.210
S 0.750 0.833 0.647
S 0.750 0.805 0.017
S 0.250 0.167 0.353
S 0.250 0.195 0.983

Summary:
The calculation puts the energy above the most stable polymorph in this dataset at 0.000 eV/atom. The mass density comes out at 3.02 Mg/m³. Its space-group type is No. 11.